# 1
The following is a DFT calculation (meta-GGA SCAN) of a crystal of SrCo2Ru relaxed with PBEsol.

a b c (Å): 4.4273 4.4273 4.4273
angles (deg): 60.00 60.00 60.00
With the nearest neighbours (Å) after each atom.
Positions (direct):
Ru: 0.5000 0.5000 0.5000  4 Co 2.71, 4 Sr 2.71
Co: 0.0000 0.0000 0.0000  4 Sr 2.71, 4 Co 2.71
Co: 0.2500 0.2500 0.2500  4 Co 2.71, 4 Ru 2.71
Sr: 0.7500 0.7500 0.7500  4 Ru 2.71, 4 Co 2.71

Symmetry: No. 216
DOS(E_F), states/eV/f.u.: 1.93
Crystal system: cubic
E above lowest polymorph, kJ/mol of atoms: 67.1
Energy relative to the elements, meV per atom: 886


# 2
The following is a DFT calculation (meta-GGA SCAN) of a crystal of SrCoRu2 relaxed with PBEsol.

a b c (Å): 2.6194 5.1728 5.1728
angles (deg): 116.00 90.00 90.00
With the nearest neighbours (Å) after each atom.
Positions (direct):
Co: 0.5000 0.5000 0.5000  2 Co 2.62, 2 Sr 2.74, 8 Ru 2.90
Ru: 0.0000 0.5000 0.0000  4 Ru 2.62-2.74, 4 Sr 2.90, 4 Co 2.90
Ru: 0.0000 0.0000 0.5000  4 Ru 2.62-2.74, 4 Co 2.90, 4 Sr 2.90
Sr: 0.5000 0.0000 0.0000  2 Sr 2.62, 2 Co 2.74, 8 Ru 2.90

Symmetry: No. 65
DOS(E_F), states/eV/f.u.: 3.50
Crystal system: orthorhombic
E above lowest polymorph, kJ/mol of atoms: 35.0
Energy relative to the elements, meV per atom: 1023


# 3
The following is a DFT calculation (meta-GGA SCAN) of a crystal of SrCo2Ru relaxed with PBEsol.

a b c (Å): 4.4488 4.4488 4.4488
angles (deg): 60.00 60.00 60.00
With the nearest neighbours (Å) after each atom.
Positions (direct):
Ru: 0.0000 0.0000 0.0000  8 Co 2.72
Co: 0.2500 0.2500 0.2500  4 Ru 2.72, 4 Sr 2.72
Co: 0.7500 0.7500 0.7500  4 Ru 2.72, 4 Sr 2.72
Sr: 0.5000 0.5000 0.5000  8 Co 2.72

Symmetry: No. 225
DOS(E_F), states/eV/f.u.: 2.41
Crystal system: cubic
E above lowest polymorph, kJ/mol of atoms: 52.1
Energy relative to the elements, meV per atom: 730


# 4
The following is a DFT calculation (meta-GGA SCAN) of a crystal of TaCoRu2 relaxed with PBEsol.

a b c (Å): 3.7725 3.7725 4.6279
angles (deg): 114.05 114.05 90.00
With the nearest neighbours (Å) after each atom.
Positions (direct):
Ru: 0.0000 0.0000 0.0000  4 Ta 2.67, 4 Co 2.67, 4 Ru 2.67
Ru: 0.7500 0.2500 0.5000  4 Co 2.67, 4 Ta 2.67, 4 Ru 2.67
Co: 0.2500 0.7500 0.5000  8 Ru 2.67, 4 Ta 2.67
Ta: 0.5000 0.5000 0.0000  8 Ru 2.67, 4 Co 2.67

Symmetry: No. 119
DOS(E_F), states/eV/f.u.: 3.78
Crystal system: tetragonal
Energy relative to the elements, meV per atom: -94


# 5
The following is a DFT calculation (meta-GGA SCAN) of a crystal of TaCoRu2 relaxed with PBEsol.

a b c (Å): 2.6737 4.2907 4.8364
angles (deg): 90.00 96.78 90.00
With the nearest neighbours (Å) after each atom.
Positions (direct):
Ru: 0.7971 0.0000 0.7282  2 Co 2.50, 5 Ru 2.56-2.72, 2 Ta 2.68
Ru: 0.2029 0.0000 0.2718  2 Co 2.50, 5 Ru 2.56-2.72, 2 Ta 2.68
Co: 0.0000 0.5000 0.5000  4 Ru 2.50, 2 Ta 2.62, 2 Co 2.67
Ta: 0.5000 0.5000 0.0000  4 Co 2.62-2.90, 2 Ta 2.67, 4 Ru 2.68

Symmetry: No. 10
DOS(E_F), states/eV/f.u.: 3.43
Crystal system: monoclinic
Energy relative to the elements, meV per atom: 17


# 6
The following is a DFT calculation (meta-GGA SCAN) of a crystal of TaCoRu2 relaxed with PBEsol.

a b c (Å): 3.7618 3.7749 3.7749
angles (deg): 90.00 90.00 90.00
With the nearest neighbours (Å) after each atom.
Positions (direct):
Ru: 0.0000 0.0000 0.5000  4 Ta 2.66, 4 Co 2.66, 4 Ru 2.67
Ru: 0.0000 0.5000 0.0000  4 Ta 2.66, 4 Co 2.66, 4 Ru 2.67
Co: 0.5000 0.0000 0.0000  8 Ru 2.66, 4 Ta 2.67
Ta: 0.5000 0.5000 0.5000  8 Ru 2.66, 4 Co 2.67

Symmetry: No. 123
DOS(E_F), states/eV/f.u.: 4.24
Crystal system: tetragonal
Energy relative to the elements, meV per atom: -177